1.
## CuRhW2 (PBE)

Data for a relaxed CuRhW2 crystal.

a = 2.750 Å, b = 2.750 Å, c = 7.715 Å
α = 90.00°, β = 90.00°, γ = 90.00°
Fractional coordinates of all 4 atoms:
Rh1 0.500 0.500 0.750
W1 0.000 0.000 0.494
W2 0.000 0.000 0.006
Cu1 0.500 0.500 0.250

Values from the calculation:
* formation energy: 0.144 eV per atom
* E above lowest polymorph: 55 meV per atom
* final energy: -9.19 eV per atom
* theoretical density: 15.204 g cm⁻³


2.
## Pr2Ho3PuTe6 (PBE)

Data for a relaxed Pr2Ho3PuTe6 crystal.

a = 4.379 Å, b = 8.917 Å, c = 9.914 Å
α = 103.96°, β = 102.76°, γ = 90.00°
Last column: magnetic moment on the atom in μB.
Fractional coordinates of all 12 atoms:
Pr1 0.167 0.335 0.335  0.02
Pr2 0.833 0.665 0.665  0.02
Te1 0.004 0.747 0.008  -0.03
Te2 0.667 0.074 0.334  -0.01
Te3 0.996 0.253 0.992  -0.03
Te4 0.333 0.926 0.666  -0.01
Te5 0.663 0.594 0.325  0.00
Te6 0.337 0.406 0.675  0.00
Ho1 0.169 0.836 0.338  0.01
Ho2 0.500 0.500 0.000  0.00
Ho3 0.831 0.164 0.662  0.01
Pu1 0.500 0.000 0.000  5.61

Values from the calculation:
* formation energy from raw total energies: -1.30 eV per atom
* final energy: -6.01 eV per atom
* theoretical density: 8.109 g cm⁻³